Record 1
VASP calculation (PBE) on a relaxed structure of TlCu4P2.

Cell lengths 3.9670, 3.9670, 26.0061 Å; angles 90.00, 90.00, 120.00 degrees
Last column: nearest neighbours and their distance in Å.
Space group R-3m (No. 166, hexagonal axes)
One atom of each set of equivalent atoms:
Tl: 0.0000 0.0000 0.0000 (multiplicity 3)  6 P 3.42, 8 Cu 3.43-3.72
Cu: 0.0000 0.0000 0.1430 (multiplicity 6)  4 P 2.42-2.58, 6 Cu 2.57-2.60
Cu: 0.0000 0.0000 0.4316 (multiplicity 6)  3 P 2.29
P: 0.0000 0.0000 0.2358 (multiplicity 6)  4 Cu 2.29-2.42

Results
Crystal system: trigonal
E_form (meV per atom): -37.1

=====

Record 2
VASP calculation (PBE) on a relaxed structure of TlCu2P.

Cell lengths 3.1304, 3.6992, 12.5554 Å; angles 90.00, 90.00, 90.00 degrees
Last column: nearest neighbours and their distance in Å.
Space group Imm2 (No. 44)
One atom of each set of equivalent atoms:
Tl: 0.0000 0.0000 0.0000 (multiplicity 2)  4 Cu 2.93, 2 Tl 3.13
Cu: 0.0000 0.0000 0.6306 (multiplicity 2)  2 P 2.34
Cu: 0.0000 0.5000 0.7805 (multiplicity 2)  4 P 2.43, 2 Cu 2.64
P: 0.0000 0.5000 0.2690 (multiplicity 2)  6 Cu 2.34-2.43

Results
Crystal system: orthorhombic
E_form (meV per atom): 175.0

=====

Record 3
VASP calculation (PBE) on a relaxed structure of TlCu4P.

Cell lengths 7.1103, 7.1103, 7.1103 Å; angles 90.00, 90.00, 90.00 degrees
Last column: nearest neighbours and their distance in Å.
Space group F-43m (No. 216)
One atom of each set of equivalent atoms:
Tl: 0.0000 0.0000 0.0000 (multiplicity 4)  12 Cu 2.95, 4 P 3.08
Cu: 0.1245 0.1245 0.6245 (multiplicity 16)  6 Cu 2.50-2.52
P: 0.2500 0.2500 0.2500 (multiplicity 4)  12 Cu 2.95, 4 Tl 3.08

Results
Crystal system: cubic
E_form (meV per atom): 274.8

=====

Record 4
VASP calculation (PBE) on a relaxed structure of TlCuP2.

Cell lengths 4.5575, 3.2443, 5.9650 Å; angles 90.00, 105.69, 90.00 degrees
Last column: nearest neighbours and their distance in Å.
Space group Pm (No. 6)
One atom of each set of equivalent atoms:
Tl: 0.0000 0.0000 0.0000 (multiplicity 1)  4 Cu 3.15-3.45, 4 P 3.16-3.37, 2 Tl 3.24
Cu: 0.3436 0.5000 0.6961 (multiplicity 1)  3 P 2.28-2.45
P: 0.5390 0.0000 0.4634 (multiplicity 1)  2 P 2.20, 2 Cu 2.45
P: 0.8612 0.5000 0.4554 (multiplicity 1)  2 P 2.20, 1 Cu 2.28

Results
ΔE to the lowest computed polymorph (meV per atom): 133.8
Crystal system: monoclinic
E_form (meV per atom): 174.8

=====

Record 5
VASP calculation (PBE) on a relaxed structure of TlCuP4.

Cell lengths 8.3499, 8.3499, 8.3499 Å; angles 90.00, 90.00, 90.00 degrees
Last column: nearest neighbours and their distance in Å.
Space group F-43m (No. 216)
One atom of each set of equivalent atoms:
Tl: 0.0000 0.0000 0.0000 (multiplicity 4)  12 P 3.57, 4 Cu 3.62
Cu: 0.2500 0.2500 0.2500 (multiplicity 4)  12 P 3.41, 4 Tl 3.62
P: 0.0938 0.0938 0.5938 (multiplicity 16)  3 P 2.21

Results
Crystal system: cubic
E_form (meV per atom): 484.1

=====

Record 6
VASP calculation (PBE) on a relaxed structure of TlCu2P.

Cell lengths 6.2110, 8.3792, 3.1143 Å; angles 90.00, 119.97, 90.00 degrees
Last column: nearest neighbours and their distance in Å.
Space group C2/m (No. 12)
One atom of each set of equivalent atoms:
Tl: 0.0000 0.0000 0.0000 (multiplicity 2)  4 Cu 2.61
Cu: 0.2500 0.2500 0.0000 (multiplicity 4)  2 Tl 2.61, 2 P 2.61
P: 0.0000 0.5000 0.0000 (multiplicity 2)  4 Cu 2.61

Results
Crystal system: monoclinic
E_form (meV per atom): 486.9

=====

Values for total DFT energy (no corrections), eV for the cell shown, ordered as above
-89.49; -30.54; -90.05; -16.58; -100.79; -28.04
Values for DOS at the Fermi energy, states/eV per atom, ordered as above
0.285; 0.354; 0.419; 0.244; 0.229; 0.222
Values for ρ, g/cm³, ordered as above
7.316; 8.279; 9.045; 6.451; 4.471; 8.573